# 1
Entry from OQMD: a relaxed HoSi3Pd4 crystal (PBE).

Lattice parameters (Å, degrees): 5.848 3.760 6.068 90.00 94.84 90.00
Space group Pm (No. 6)
Unique sites:
Ho 0.000 0.000 0.000
Si 0.186 0.500 0.614
Si 0.478 0.000 0.798
Si 0.711 0.500 0.294
Pd 0.392 0.500 0.023
Pd 0.409 0.000 0.398
Pd 0.724 0.500 0.711
Pd 0.933 0.000 0.463

Results
- uncorrected energy (eV/atom) = -5.782

# 2
Entry from OQMD: a relaxed YScBePt crystal (PBE).

Lattice parameters (Å, degrees): 6.516 6.516 6.516 90.00 90.00 90.00
Space group F-43m (No. 216)
Unique sites:
Y 0.000 0.000 0.000
Sc 0.250 0.250 0.250
Be 0.250 0.250 0.750
Pt 0.000 0.000 0.500

Results
- uncorrected energy (eV/atom) = -6.091
- energy relative to the lowest polymorph listed for this composition (eV per atom) = 0.119

# 3
Entry from OQMD: a relaxed Er2CoPt crystal (PBE).

Lattice parameters (Å, degrees): 4.133 5.555 7.137 90.00 90.00 90.00
Space group Pmc2_1 (No. 26)
Unique sites:
Er 0.000 0.117 0.000
Er 0.500 0.374 0.647
Co 0.500 0.104 0.281
Pt 0.000 0.381 0.359

Results
- uncorrected energy (eV/atom) = -6.308
- formation energy from the elements (eV per formula unit) = -2.9

# 4
Entry from OQMD: a relaxed IrO4 crystal (PBE).

Lattice parameters (Å, degrees): 8.899 3.063 4.339 90.00 118.42 90.00
Space group C2/m (No. 12)
Unique sites:
Ir 0.000 0.000 0.000
O 0.088 0.500 0.316
O 0.200 0.000 0.930

Results
- uncorrected energy (eV/atom) = -5.741

# 5
Entry from OQMD: a relaxed Y2CoN crystal (PBE).

Lattice parameters (Å, degrees): 3.4447 3.4447 13.5831 90.00 90.00 120.00
Space group P6_3/mmc (No. 194)
Unique sites:
Y 0.3333 0.6667 0.1033
Co 0.3333 0.6667 0.7500
N 0.0000 0.0000 0.0000

Results
- uncorrected energy (eV/atom) = -7.710

# 6
Entry from OQMD: a relaxed ZrNpGe crystal (PBE).

Lattice parameters (Å, degrees): 6.562 6.562 6.562 90.00 90.00 90.00
Space group F-43m (No. 216)
Unique sites:
Zr 0.000 0.000 0.000
Np 0.000 0.000 0.500
Ge 0.250 0.250 0.750

Results
- uncorrected energy (eV/atom) = -8.564

# 7
Entry from OQMD: a relaxed Y3Mg3Zn2Cu crystal (PBE).

Lattice parameters (Å, degrees): 7.4954 7.4954 4.0993 90.00 90.00 120.00
Space group P-62m (No. 189)
Unique sites:
Y 0.0000 0.5919 0.0000
Mg 0.0000 0.2414 0.5000
Zn 0.3333 0.6667 0.5000
Cu 0.0000 0.0000 0.0000

Results
- uncorrected energy (eV/atom) = -3.639

# 8
Entry from OQMD: a relaxed CsNaAgAs crystal (PBE).

Lattice parameters (Å, degrees): 5.797 10.314 8.655 90.00 90.00 90.00
Space group Amm2 (No. 38)
Unique sites:
Cs 0.000 0.175 0.000
Na 0.500 0.164 0.676
Ag 0.247 0.000 0.392
As 0.000 0.000 0.643
As 0.500 0.000 0.153

Results
- uncorrected energy (eV/atom) = -2.697
- energy relative to the lowest polymorph listed for this composition (eV per atom) = 0.079

# 9
Entry from OQMD: a relaxed BAu crystal (PBE).

Lattice parameters (Å, degrees): 3.1477 3.1477 2.9569 90.00 90.00 120.00
Space group P-6m2 (No. 187)
Unique sites:
B 0.0000 0.0000 0.0000
Au 0.3333 0.6667 0.5000

Results
- uncorrected energy (eV/atom) = -3.992

# 10
Entry from OQMD: a relaxed NdMgCu4 crystal (PBE).

Lattice parameters (Å, degrees): 7.326 7.326 7.326 90.00 90.00 90.00
Space group F-43m (No. 216)
Unique sites:
Nd 0.000 0.000 0.000
Mg 0.250 0.250 0.750
Cu 0.123 0.123 0.377

Results
- uncorrected energy (eV/atom) = -3.724

# 11
Entry from OQMD: a relaxed PrZnAu crystal (PBE).

Lattice parameters (Å, degrees): 6.968 6.968 6.968 90.00 90.00 90.00
Space group F-43m (No. 216)
Unique sites:
Pr 0.000 0.000 0.000
Zn 0.250 0.250 0.250
Au 0.250 0.250 0.750

Results
- uncorrected energy (eV/atom) = -3.262
- formation energy from the elements (eV per formula unit) = -0.5

# 12
Entry from OQMD: a relaxed PmErSc crystal (PBE).

Lattice parameters (Å, degrees): 7.438 7.438 7.438 90.00 90.00 90.00
Space group F-43m (No. 216)
Unique sites:
Pm 0.000 0.000 0.000
Er 0.000 0.000 0.500
Sc 0.250 0.250 0.750

Results
- uncorrected energy (eV/atom) = -4.529
- energy relative to the lowest polymorph listed for this composition (eV per atom) = 0.000
- formation energy from the elements (eV per formula unit) = 2.1

# 13
Entry from OQMD: a relaxed UTaNi crystal (PBE).

Lattice parameters (Å, degrees): 6.155 6.155 6.155 90.00 90.00 90.00
Space group F-43m (No. 216)
Unique sites:
U 0.000 0.000 0.000
Ta 0.000 0.000 0.500
Ni 0.250 0.250 0.250

Results
- uncorrected energy (eV/atom) = -9.031
- energy relative to the lowest polymorph listed for this composition (eV per atom) = 0.000
- formation energy from the elements (eV per formula unit) = 1.6

# 14
Entry from OQMD: a relaxed HoLuMo2C3 crystal (PBE).

Lattice parameters (Å, degrees): 11.272 3.357 5.643 90.00 108.56 90.00
Space group Cm (No. 8)
Unique sites:
Ho 0.000 0.000 0.000
Lu 0.230 0.000 0.638
Mo 0.263 0.500 0.190
Mo 0.466 0.000 0.450
C 0.115 0.500 0.325
C 0.343 0.000 0.073
C 0.382 0.500 0.564

Results
- uncorrected energy (eV/atom) = -8.700

# 15
Entry from OQMD: a relaxed NiGe crystal (PBE).

Lattice parameters (Å, degrees): 3.7649 3.7649 6.1384 90.00 90.00 120.00
Space group P6_3mc (No. 186)
Unique sites:
Ni 0.3333 0.6667 0.0000
Ge 0.3333 0.6667 0.6230

Results
- uncorrected energy (eV/atom) = -4.842

# 16
Entry from OQMD: a relaxed LiErHf crystal (PBE).

Lattice parameters (Å, degrees): 6.974 6.974 6.974 90.00 90.00 90.00
Space group F-43m (No. 216)
Unique sites:
Li 0.000 0.000 0.000
Er 0.000 0.000 0.500
Hf 0.250 0.250 0.750

Results
- uncorrected energy (eV/atom) = -4.289
- energy relative to the lowest polymorph listed for this composition (eV per atom) = 0.000

# 17
Entry from OQMD: a relaxed Lu4FeAsC2 crystal (PBE).

Lattice parameters (Å, degrees): 3.5083 3.5083 13.8060 90.00 90.00 120.00
Space group P-6m2 (No. 187)
Unique sites:
Lu 0.0000 0.0000 0.1538
Lu 0.3333 0.6667 0.3439
Fe 0.0000 0.0000 0.5000
As 0.3333 0.6667 0.0000
C 0.6667 0.3333 0.2489

Results
- uncorrected energy (eV/atom) = -6.544

# 18
Entry from OQMD: a relaxed BeZnCoW crystal (PBE).

Lattice parameters (Å, degrees): 5.767 5.767 5.767 90.00 90.00 90.00
Space group F-43m (No. 216)
Unique sites:
Be 0.000 0.000 0.000
Zn 0.250 0.250 0.250
Co 0.000 0.000 0.500
W 0.250 0.250 0.750

Results
- uncorrected energy (eV/atom) = -6.128
- energy relative to the lowest polymorph listed for this composition (eV per atom) = 0.000

# 19
Entry from OQMD: a relaxed Re2Au crystal (PBE).

Lattice parameters (Å, degrees): 11.644 11.644 11.644 90.00 90.00 90.00
Space group Fd-3m (No. 227, origin choice 2)
Unique sites:
Re 0.000 0.000 0.000
Au 0.125 0.125 0.125

Results
- uncorrected energy (eV/atom) = -5.173
- energy relative to the lowest polymorph listed for this composition (eV per atom) = 3.445
- formation energy from the elements (eV per formula unit) = 12.6

# 20
Entry from OQMD: a relaxed ScBeFe2 crystal (PBE).

Lattice parameters (Å, degrees): 5.863 5.863 5.863 90.00 90.00 90.00
Space group F-43m (No. 216)
Unique sites:
Sc 0.000 0.000 0.000
Be 0.250 0.250 0.250
Fe 0.000 0.000 0.500
Fe 0.250 0.250 0.750

Results
- uncorrected energy (eV/atom) = -6.640

# 21
Entry from OQMD: a relaxed NbF5 crystal (PBE).

Lattice parameters (Å, degrees): 9.024 13.615 4.668 90.00 99.02 90.00
Space group C2/m (No. 12)
Unique sites:
Nb 0.000 0.213 0.000
Nb 0.228 0.500 0.275
F 0.118 0.394 0.373
F 0.120 0.191 0.364
F 0.124 0.000 0.390
F 0.126 0.097 0.876
F 0.131 0.301 0.866
F 0.135 0.500 0.879

Results
- uncorrected energy (eV/atom) = -6.152

# 22
Entry from OQMD: a relaxed Al2Ga2W crystal (PBE).

Lattice parameters (Å, degrees): 3.644 3.644 12.108 90.00 90.00 90.00
Space group I4/mmm (No. 139)
Unique sites:
Al 0.000 0.500 0.250
Ga 0.000 0.000 0.098
W 0.000 0.000 0.500

Results
- uncorrected energy (eV/atom) = -4.711
- energy relative to the lowest polymorph listed for this composition (eV per atom) = 0.114

# 23
Entry from OQMD: a relaxed Y3AuS6 crystal (PBE).

Lattice parameters (Å, degrees): 4.209 6.711 8.487 88.82 78.01 84.39
Space group P-1 (No. 2)
Unique sites:
Y 0.000 0.000 0.000
Y 0.366 0.546 0.270
Au 0.000 0.000 0.500
S 0.157 0.676 0.599
S 0.174 0.172 0.706
S 0.446 0.263 0.031

Results
- uncorrected energy (eV/atom) = -6.248

# 24
Entry from OQMD: a relaxed KDyCdTe3 crystal (PBE).

Lattice parameters (Å, degrees): 8.770 4.744 18.603 90.00 90.00 90.00
Space group Pnma (No. 62)
Unique sites:
K 0.069 0.250 0.192
Dy 0.232 0.250 0.959
Cd 0.070 0.250 0.660
Te 0.002 0.250 0.424
Te 0.129 0.750 0.055
Te 0.230 0.250 0.793

Results
- uncorrected energy (eV/atom) = -3.623
- energy relative to the lowest polymorph listed for this composition (eV per atom) = 0.106

# 25
Entry from OQMD: a relaxed BAu crystal (PBE).

Lattice parameters (Å, degrees): 4.706 4.706 4.706 90.00 90.00 90.00
Space group Fm-3m (No. 225)
Unique sites:
B 0.000 0.000 0.000
Au 0.000 0.000 0.500

Results
- uncorrected energy (eV/atom) = -3.945

# 26
Entry from OQMD: a relaxed RbPr2CuTeS3 crystal (PBE).

Lattice parameters (Å, degrees): 4.272 14.876 14.298 90.00 90.00 90.00
Space group Cmcm (No. 63)
Unique sites:
Rb 0.000 0.097 0.250
Pr 0.000 0.352 0.067
Cu 0.000 0.170 0.750
Te 0.000 0.000 0.000
S 0.000 0.263 0.615
S 0.000 0.415 0.250

Results
- uncorrected energy (eV/atom) = -5.231
- energy relative to the lowest polymorph listed for this composition (eV per atom) = 0.000